The following is a PBE calculation of Ba3Pd after structural relaxation, from Alexandria via LeMat-Bulk.

a = 7.4911 Å, b = 7.4911 Å, c = 7.4911 Å
α = 146.87°, β = 70.52°, γ = 119.74°
Positions (direct):
Ba 0.0000 0.0000 0.0000
Ba 0.3134 0.4865 0.8270
Ba 0.6595 0.4865 0.1730
Pd 0.3183 0.8183 0.5000

The total energy is -2.993 eV/atom. Its density of states at the Fermi level is 3.64 states/eV/f.u. The formation energy comes out at -253 meV per atom. As for the symmetry: Imm2, No. 44. The total magnetic moment is 0.0 μB/f.u.